The following is a DFT calculation (PBE) of Cd2FeTc after structural relaxation.

```
4
Lattice="2.889 0.000 0.000 0.000 2.889 0.000 0.000 0.000 7.975" Properties=species:S:1:pos:R:3 pbc="T T T"
Cd 0.000 0.000 0.000
Cd 1.444 1.444 2.475
Fe 0.000 0.000 4.443
Tc 1.444 1.444 5.814
```

The calculation puts the density of states at the Fermi level at 2.2 states/eV per cell. As for the space-group type: P4mm. As for the crystal system: tetragonal. The theoretical density comes out at 9.45 g cm⁻³. Its formation energy from the elements is 0.193 eV/atom. As for the energy above the lowest structure with this stoichiometry: 0.0 meV per atom.